The following is a PBE with a Hubbard U calculation of a relaxed CaTl2NiF6 crystal, from the Alexandria database.

Structure (POSCAR):
```
CaTl2NiF6
1.0
0.0000 4.3135 4.3135
4.3135 0.0000 4.3135
4.3135 4.3135 0.0000
Ca Tl Ni F
1 2 1 6
direct
0.0000 0.0000 0.0000 Ca
0.2500 0.2500 0.2500 Tl
0.7500 0.7500 0.7500 Tl
0.5000 0.5000 0.5000 Ni
0.2626 0.2626 0.7374 F
0.2626 0.7374 0.2626 F
0.2626 0.7374 0.7374 F
0.7374 0.2626 0.2626 F
0.7374 0.2626 0.7374 F
0.7374 0.7374 0.2626 F
```

As for the space-group type: Fm-3m (225). For the uncorrected energy, the calculation gives -46.03 eV per cell.